Entry 1:
Material: Sm5Er3
Method: DFT, PBE
State: relaxed

Output
Crystal system: orthorhombic
Formation enthalpy at 0 K in eV/atom: 0.02
E above lowest polymorph in eV/atom: 0.006

a b c (Å): 3.6416 5.7313 12.6236
angles (deg): 90.00 90.00 90.00
Space group Pmm2 (No. 25)
Inequivalent atoms, fractional coordinates:
Sm: 0.0000 0.0000 0.0000
Sm: 0.0000 0.0000 0.4923
Sm: 0.0000 0.5000 0.8312
Sm: 0.5000 0.0000 0.7473
Sm: 0.5000 0.5000 0.5747
Er: 0.0000 0.5000 0.3262
Er: 0.5000 0.0000 0.2452
Er: 0.5000 0.5000 0.0832

Entry 2:
Material: Ca6YS8
Method: DFT, PBE
State: relaxed

Output
Crystal system: cubic
Energy relative to the elements, uncorrected in eV/atom: -1.99

a b c (Å): 11.4122 11.4122 11.4122
angles (deg): 90.00 90.00 90.00
Space group Fm-3m (No. 225)
Inequivalent atoms, fractional coordinates:
Ca: 0.0000 0.2500 0.2500
Y: 0.0000 0.0000 0.0000
S: 0.0000 0.0000 0.2397
S: 0.2500 0.2500 0.2500

Entry 3:
Material: ZrRhBr2
Method: DFT, PBE
State: relaxed

Output
Crystal system: monoclinic
E above lowest polymorph in eV/atom: 0.000
Energy relative to the elements, uncorrected in eV/atom: -0.70

a b c (Å): 14.9505 3.4994 4.2051
angles (deg): 90.00 93.24 90.00
Space group C2/m (No. 12)
Inequivalent atoms, fractional coordinates:
Zr: 0.0000 0.0000 0.0000
Rh: 0.0000 0.5000 0.5000
Br: 0.1418 0.5000 0.2134

Number 1: size of the total moment 0.0 μB/cell. Number 2: size of the total moment 0.0 μB/cell. Number 3: size of the total moment 0.0 μB/cell.